Crystalline AlCoNi2 at its relaxed geometry. Source: Alexandria via LeMat-Bulk, functional PBE-GGA.

```
AlCoNi2
1.0
8.1342 0.0060 0.0035
7.7191 2.5655 0.0035
7.7191 1.2520 2.2392
Ni Co Al
2 1 1
Direct
0.9995 0.9995 0.9995 Ni
0.5005 0.5005 0.5005 Ni
0.7500 0.7500 0.7500 Co
0.2500 0.2500 0.2500 Al
```

Its density of states at the Fermi level is 3.6 states/eV/f.u. As for the size of the total moment: 2.1 μB per cell. The mass density is 7.25 g/cm3. For the total energy, the calculation gives -5.737 eV per atom. Its volume is 11.6 A^3/atom. Its formation energy is -0.54 eV per formula unit. The space group is R-3m.


Crystalline Li3WSe at its relaxed geometry. Source: Alexandria via LeMat-Bulk, functional PBE-GGA.

```
Li3WSe
1.0
5.0662 0.0000 0.0000
0.0000 5.0662 0.0000
0.0000 0.0000 5.0662
Se W Li
1 1 3
Direct
0.5000 0.5000 0.5000 Se
0.0000 0.0000 0.0000 W
0.0000 0.5000 0.0000 Li
0.0000 0.0000 0.5000 Li
0.5000 0.0000 0.0000 Li
```

Its density of states at the Fermi level is 0.0 states/eV/f.u. As for the size of the total moment: 5.0 μB per cell. The mass density is 3.62 g/cm3. The calculation puts the uncorrected formation energy at 588 kJ/mol of formula units. For the total energy, the calculation gives -3.217 eV per atom. Its volume is 26.0 A^3/atom. The space group is Pm-3m. Its relative energy among the computed polymorphs is 0.640 eV/atom.


Crystalline GaAgSn at its relaxed geometry. Source: Alexandria via LeMat-Bulk, functional PBE-GGA.

```
GaAgSn
1.0
3.2736 0.0000 0.0000
0.0000 3.2736 0.0000
-1.6368 -1.6368 5.9679
Ag Sn Ga
1 1 1
Direct
0.6783 0.6783 0.3567 Ag
0.0017 0.0017 0.0035 Sn
0.3199 0.3199 0.6399 Ga
```

Its density of states at the Fermi level is 2.0 states/eV/f.u. As for the size of the total moment: 0.0 μB per cell. The mass density is 7.69 g/cm3. For the total energy, the calculation gives -3.220 eV per atom. Its volume is 21.3 A^3/atom. Its formation energy is 0.22 eV per formula unit. The space group is I4mm.


Crystalline KTb2Pr at its relaxed geometry. Source: Alexandria via LeMat-Bulk, functional PBE-GGA.

```
KTb2Pr
1.0
3.6348 0.0000 0.0000
1.8174 3.1478 0.0000
1.8174 1.0493 13.3823
Pr K Tb
1 1 2
Direct
0.5000 0.5000 0.5000 Pr
0.0000 0.0000 0.0000 K
0.0946 0.0946 0.7163 Tb
0.9054 0.9054 0.2837 Tb
```

Its density of states at the Fermi level is 5.8 states/eV/f.u. As for the size of the total moment: 0.0 μB per cell. The mass density is 5.40 g/cm3. For the total energy, the calculation gives -3.537 eV per atom. Its volume is 38.3 A^3/atom. Its formation energy is 0.99 eV per formula unit. The space group is R-3m.


Crystalline Sc2FeCl at its relaxed geometry. Source: Alexandria via LeMat-Bulk, functional PBE-GGA.

```
Sc2FeCl
1.0
-4.7424 0.7250 6.5266
-5.6469 -2.5228 5.2307
-2.7207 -2.1618 7.3169
Sc Fe Cl
2 1 1
Direct
0.8937 0.8937 0.8937 Sc
0.1063 0.1063 0.1063 Sc
0.5000 0.5000 0.5000 Fe
0.0000 0.0000 0.0000 Cl
```

Its density of states at the Fermi level is 4.4 states/eV/f.u. As for the size of the total moment: 0.0 μB per cell. The mass density is 3.40 g/cm3. The calculation puts the uncorrected formation energy at -181 kJ/mol of formula units. For the total energy, the calculation gives -6.212 eV per atom. Its volume is 22.1 A^3/atom. The space group is R-3m. Its relative energy among the computed polymorphs is 0.237 eV/atom.


Crystalline KTaRh2 at its relaxed geometry. Source: Alexandria via LeMat-Bulk, functional PBE-GGA.

```
KTaRh2
1.0
-3.0380 3.9798 -2.6186
-5.4046 -0.7369 1.4738
5.2108 1.3569 1.7122
K Rh Ta
1 2 1
Direct
0.2500 0.7500 0.5000 K
0.9525 0.9525 0.0000 Rh
0.5475 0.5475 0.0000 Rh
0.7500 0.2500 0.5000 Ta
```

Its density of states at the Fermi level is 2.4 states/eV/f.u. As for the size of the total moment: 0.0 μB per cell. The mass density is 8.18 g/cm3. For the total energy, the calculation gives -6.359 eV per atom. Its volume is 21.6 A^3/atom. Its formation energy is 2.22 eV per formula unit. The space group is Immm. Its relative energy among the computed polymorphs is 0.459 eV/atom.


Crystalline La2MnTl3S6 at its relaxed geometry. Source: Alexandria via LeMat-Bulk, functional PBE-GGA.

```
La2MnTl3S6
1.0
-4.7512 -3.9961 -3.2495
1.8199 -1.7216 6.5442
-4.4112 6.3439 1.4864
La Mn Tl S
2 1 3 6
Direct
0.3349 0.6651 0.0000 La
0.6651 0.3349 0.0000 La
0.0000 0.0000 0.0000 Mn
0.1689 0.8311 0.5000 Tl
0.8311 0.1689 0.5000 Tl
0.5000 0.5000 0.5000 Tl
0.9359 0.6504 0.8183 S
0.7487 0.7487 0.2297 S
0.0641 0.3496 0.1817 S
0.6504 0.9359 0.8183 S
0.2513 0.2513 0.7703 S
0.3496 0.0641 0.1817 S
```

As for the size of the total moment: 4.0 μB per cell. The mass density is 5.86 g/cm3. The calculation puts the uncorrected formation energy at -1293 kJ/mol of formula units. For the total energy, the calculation gives -5.358 eV per atom. Its volume is 26.9 A^3/atom. The space group is C2/m.


Crystalline Pu2TlOs at its relaxed geometry. Source: Alexandria via LeMat-Bulk, functional PBE-GGA.

```
Pu2TlOs
1.0
3.2474 0.0000 0.0000
0.0000 3.2474 0.0000
0.0000 0.0000 8.7812
Tl Os Pu
1 1 2
Direct
0.5000 0.5000 0.5000 Tl
0.5000 0.5000 0.0000 Os
0.0000 0.0000 0.7961 Pu
0.0000 0.0000 0.2039 Pu
```

Its density of states at the Fermi level is 10.4 states/eV/f.u. As for the size of the total moment: 9.9 μB per cell. The mass density is 15.83 g/cm3. For the total energy, the calculation gives -10.646 eV per atom. Its volume is 23.2 A^3/atom. Its formation energy is -0.32 eV per formula unit. The space group is P4/mmm. Its relative energy among the computed polymorphs is 0.000 eV/atom.